The following is a GGA-PBEsol calculation of a relaxed Na2Ga2Sn crystal, from Alexandria via LeMat-Bulk.

Summary:
Magnetization in μB per formula unit: 0.000
DFT total energy in eV/f.u.: -14.24
Symmetry: P4/mbm
Formation enthalpy at 0 K in eV/atom: -0.100

a b c (Å): 7.0207 7.0207 4.8581
angles (deg): 90.00 90.00 90.00
Closest atoms and distances in Å follow each position.
Atoms (fractional coordinates):
Na (0.1767, 0.3233, 0.0000)  6 Ga 3.12-3.25
Na (0.3233, 0.8233, 0.0000)  6 Ga 3.12-3.25
Na (0.6767, 0.1767, 0.0000)  6 Ga 3.12-3.25
Na (0.8233, 0.6767, 0.0000)  6 Ga 3.12-3.25
Ga (0.1263, 0.6263, 0.5000)  1 Ga 2.51, 2 Sn 2.77
Ga (0.3737, 0.1263, 0.5000)  1 Ga 2.51, 2 Sn 2.77
Ga (0.6263, 0.8737, 0.5000)  1 Ga 2.51, 2 Sn 2.77
Ga (0.8737, 0.3737, 0.5000)  1 Ga 2.51, 2 Sn 2.77
Sn (0.0000, 0.0000, 0.5000)  4 Ga 2.77
Sn (0.5000, 0.5000, 0.5000)  4 Ga 2.77